Below is an optimized crystal structure of KNa, with properties calculated at the PBE level.

N(E_F) in states/eV/atom: 0.60
Formation energy in kJ/mol of atoms: 5

a = 6.8106 Å, b = 4.2822 Å, c = 7.3736 Å
α = 90.00°, β = 90.00°, γ = 90.00°
Space group Amm2 (No. 38)
Asymmetric unit:
1 K 0.0000 0.0000 0.0000 (multiplicity 2)
2 Na 0.5000 0.0000 0.6595 (multiplicity 2)

Below is an optimized crystal structure of Rb4CrI5, with properties calculated at the PBE level.

N(E_F) in states/eV/atom: 0.16
Formation energy (no corrections) in kJ/mol of atoms: -104.3

a = 11.2741 Å, b = 11.2741 Å, c = 7.4440 Å
α = 90.00°, β = 90.00°, γ = 90.00°
Space group I4 (No. 79)
Asymmetric unit:
1 Rb 0.0915 0.7008 0.0000 (multiplicity 8)
2 Cr 0.0000 0.0000 0.5615 (multiplicity 2)
3 I 0.0000 0.0000 0.9458 (multiplicity 2)
4 I 0.0855 0.7396 0.4974 (multiplicity 8)

Below is an optimized crystal structure of Fe2MoPdC, with properties calculated at the PBE level.

N(E_F) in states/eV/atom: 1.11
Formation energy in kJ/mol of atoms: 14

a = 3.8842 Å, b = 3.8842 Å, c = 4.1166 Å
α = 90.00°, β = 90.00°, γ = 90.00°
Space group P4/mmm (No. 123)
Asymmetric unit:
1 Fe 0.0000 0.5000 0.0000 (multiplicity 2)
2 Mo 0.0000 0.0000 0.5000 (multiplicity 1)
3 Pd 0.5000 0.5000 0.5000 (multiplicity 1)
4 C 0.0000 0.0000 0.0000 (multiplicity 1)

| no. | total DFT energy (no corrections) (eV for the cell shown) |
| --- | --- |
| 1 | -4.615 |
| 2 | -64.113 |
| 3 | -41.433 |